(1)
# BaPmSi3, relaxed, DFT PBE
data_BaPmSi3
_chemical_formula_sum 'Ba4 Pm4 Si12'
_symmetry_space_group_name_H-M 'C m c m'
_symmetry_Int_Tables_number 63
_symmetry_space_group_name_Hall '-C 2c 2'
_cell_length_a 4.811
_cell_length_b 25.316
_cell_length_c 4.019
_cell_angle_alpha 90.00
_cell_angle_beta 90.00
_cell_angle_gamma 90.00
loop_
_atom_site_label
_atom_site_type_symbol
_atom_site_fract_x
_atom_site_fract_y
_atom_site_fract_z
_atom_site_occupancy
Ba1 Ba 0.000 0.073 0.250 1
Pm1 Pm 0.000 0.203 0.750 1
Si1 Si 0.000 0.321 0.750 1
Si2 Si 0.000 0.376 0.250 1
Si3 Si 0.000 0.475 0.250 1
# formation energy without anion corrections	-0.4913	eV/atom
# calculated volume	24.48	A^3/atom
# total magnetization	0.00	μB/f.u.
# DOS at the Fermi energy	3.1	states/eV/f.u.

(2)
# BaPm6Si4, relaxed, DFT PBE
data_BaPm6Si4
_chemical_formula_sum 'Ba1 Pm6 Si4'
_symmetry_space_group_name_H-M 'P -6 m 2'
_symmetry_Int_Tables_number 187
_symmetry_space_group_name_Hall 'P -6 2'
_cell_length_a 9.3006
_cell_length_b 9.3006
_cell_length_c 4.2161
_cell_angle_alpha 90.00
_cell_angle_beta 90.00
_cell_angle_gamma 120.00
loop_
_atom_site_label
_atom_site_type_symbol
_atom_site_fract_x
_atom_site_fract_y
_atom_site_fract_z
_atom_site_occupancy
Ba1 Ba 0.0000 0.0000 0.0000 1
Pm1 Pm 0.1963 0.3926 0.5000 1
Pm2 Pm 0.5400 0.0800 0.0000 1
Si1 Si 0.3333 0.6667 0.0000 1
Si2 Si 0.3514 0.1757 0.5000 1
# formation energy without anion corrections	-0.4150	eV/atom
# calculated volume	28.71	A^3/atom
# total magnetization	2.50	μB/f.u.
# DOS at the Fermi energy	10.2	states/eV/f.u.

(3)
# BaPmZnSi, relaxed, DFT PBE
data_BaPmZnSi
_chemical_formula_sum 'Ba4 Pm4 Zn4 Si4'
_symmetry_space_group_name_H-M 'F -4 3 m'
_symmetry_Int_Tables_number 216
_symmetry_space_group_name_Hall 'F -4 2 3'
_cell_length_a 7.637
_cell_length_b 7.637
_cell_length_c 7.637
_cell_angle_alpha 90.00
_cell_angle_beta 90.00
_cell_angle_gamma 90.00
loop_
_atom_site_label
_atom_site_type_symbol
_atom_site_fract_x
_atom_site_fract_y
_atom_site_fract_z
_atom_site_occupancy
Ba1 Ba 0.000 0.000 0.000 1
Pm1 Pm 0.000 0.000 0.500 1
Zn1 Zn 0.250 0.250 0.750 1
Si1 Si 0.250 0.250 0.250 1
# formation energy without anion corrections	-0.1856	eV/atom
# calculated volume	27.84	A^3/atom
# total magnetization	0.00	μB/f.u.
# DOS at the Fermi energy	4.0	states/eV/f.u.